{
  "formula": "Er4Co7Ge6",
  "functional": "PBE",
  "state": "relaxed",
  "total_magnetization_mub_per_cell": 0.00,
  "formation_enthalpy_0k_ev_per_atom": -0.574,
  "n_ef_per_ev_cell": 11.4,
  "cell": [[-4.037, 4.037, 4.037], [4.037, -4.037, 4.037], [4.037, 4.037, -4.037]],
  "species": ["Er", "Er", "Er", "Er", "Co", "Co", "Co", "Co", "Co", "Co", "Co", "Ge", "Ge", "Ge", "Ge", "Ge", "Ge"],
  "fractional_positions": [[0.000, 0.000, 0.500], [0.000, 0.500, 0.000], [0.500, 0.000, 0.000], [0.500, 0.500, 0.500], [0.000, 0.000, 0.000], [0.250, 0.500, 0.750], [0.250, 0.750, 0.500], [0.500, 0.250, 0.750], [0.500, 0.750, 0.250], [0.750, 0.250, 0.500], [0.750, 0.500, 0.250], [0.000, 0.326, 0.326], [0.000, 0.674, 0.674], [0.326, 0.000, 0.326], [0.326, 0.326, 0.000], [0.674, 0.000, 0.674], [0.674, 0.674, 0.000]]
}